1.
The following is a PBE+U calculation of an optimized crystal structure of ZrTl2Mo3O12, from the Alexandria database.

Values from the calculation:
The spin magnetization is 0.000 μB/atom.

abc: 7.5405 7.5405 7.5405
angles: 59.02 59.02 59.02
With the nearest neighbours (Å) after each atom.
Sites, in units of the cell vectors:
1 O 0.0663 0.0663 0.6676  1 Mo 1.91, 1 Zr 2.11
2 O 0.6676 0.0663 0.0663  1 Mo 1.91, 1 Zr 2.11
3 O 0.3048 0.3048 0.9423  2 Mo 1.95
4 O 0.3048 0.9423 0.3048  2 Mo 1.95
5 O 0.6952 0.0577 0.6952  2 Mo 1.95
6 O 0.9423 0.3048 0.3048  2 Mo 1.95
7 O 0.9337 0.9337 0.3324  1 Mo 1.91, 1 Zr 2.11
8 O 0.0663 0.6676 0.0663  1 Mo 1.91, 1 Zr 2.11
9 O 0.3324 0.9337 0.9337  1 Mo 1.91, 1 Zr 2.11
10 O 0.9337 0.3324 0.9337  1 Mo 1.91, 1 Zr 2.11
11 O 0.6952 0.6952 0.0577  2 Mo 1.95
12 O 0.0577 0.6952 0.6952  2 Mo 1.95
13 Tl 0.6636 0.6636 0.6636  3 O 2.89
14 Tl 0.3364 0.3364 0.3364  3 O 2.89
15 Mo 0.5000 0.0000 0.0000  6 O 1.91-1.95
16 Mo 0.0000 0.5000 0.0000  6 O 1.91-1.95
17 Mo 0.0000 0.0000 0.5000  6 O 1.91-1.95
18 Zr 0.0000 0.0000 0.0000  6 O 2.11

2.
The following is a PBE+U calculation of an optimized crystal structure of Zr2TlMoO8, from the Alexandria database.

Values from the calculation:
The spin magnetization is 0.083 μB/atom.

abc: 4.8951 4.8937 6.6843
angles: 90.00 90.00 90.23
With the nearest neighbours (Å) after each atom.
Sites, in units of the cell vectors:
1 O 0.7108 0.7108 0.0000  1 Mo 2.00, 2 Zr 2.22
2 O 0.8022 0.1979 0.2200  1 Mo 2.01, 1 Zr 2.11
3 O 0.8022 0.1979 0.7800  1 Mo 2.01, 1 Zr 2.11
4 O 0.6820 0.6825 0.5000  2 Zr 2.09, 1 Tl 2.20
5 O 0.2892 0.2892 0.0000  1 Mo 2.00, 2 Zr 2.22
6 O 0.1978 0.8021 0.7800  1 Mo 2.01, 1 Zr 2.11
7 O 0.3180 0.3175 0.5000  2 Zr 2.09, 1 Tl 2.20
8 O 0.1978 0.8021 0.2200  1 Mo 2.01, 1 Zr 2.11
9 Zr 0.5000 0.5000 0.7493  6 O 2.09-2.22
10 Zr 0.5000 0.5000 0.2507  6 O 2.09-2.22
11 Mo 0.0000 0.0000 0.0000  6 O 2.00-2.01
12 Tl 0.0000 0.0000 0.5000  6 O 2.20-2.32

3.
The following is a PBE+U calculation of an optimized crystal structure of TmMoO3, from the Alexandria database.

Values from the calculation:
The spin magnetization is 0.599 μB/atom.

abc: 3.6838 5.1942 7.2858
angles: 90.00 90.00 90.00
With the nearest neighbours (Å) after each atom.
Sites, in units of the cell vectors:
1 O 0.5000 0.2530 0.5434  2 Mo 2.13-2.38, 2 Tm 2.28
2 O 0.5000 0.7470 0.0434  2 Mo 2.13-2.38, 2 Tm 2.28
3 O 0.0000 0.7574 0.7500  2 Mo 2.15, 2 Tm 2.21
4 O 0.5000 0.2530 0.9566  2 Mo 2.13-2.38, 2 Tm 2.28
5 O 0.5000 0.7470 0.4566  2 Mo 2.13-2.38, 2 Tm 2.28
6 O 0.0000 0.2426 0.2500  2 Mo 2.15, 2 Tm 2.21
7 Mo 0.5000 0.4559 0.2500  6 O 2.13-2.38
8 Mo 0.5000 0.5441 0.7500  6 O 2.13-2.38
9 Tm 0.0000 0.0000 0.0000  6 O 2.21-2.28
10 Tm 0.0000 0.0000 0.5000  6 O 2.21-2.28

4.
The following is a PBE+U calculation of an optimized crystal structure of Tm2Mo4O15, from the Alexandria database.

Values from the calculation:
The spin magnetization is 0.000 μB/atom.

abc: 9.6356 6.8589 10.6999
angles: 75.22 90.00 90.00
With the nearest neighbours (Å) after each atom.
Sites, in units of the cell vectors:
1 O 0.1624 0.3829 0.1011  1 Mo 1.79
2 O 0.5514 0.6244 0.6876  1 Mo 1.78
3 O 0.8744 0.5313 0.5996  1 Mo 1.78
4 O 0.2789 0.1161 0.8473  1 Mo 1.77
5 O 0.4486 0.3756 0.3124  1 Mo 1.78
6 O 0.3639 0.7424 0.3814  1 Mo 1.82
7 O 0.5000 0.0000 0.5000  2 Mo 1.91
8 O 0.6361 0.2576 0.6186  1 Mo 1.82
9 O 0.1256 0.4687 0.4004  1 Mo 1.78
10 O 0.9727 0.9582 0.2931  1 Mo 1.78
11 O 0.7211 0.8839 0.1527  1 Mo 1.77
12 O 0.7789 0.8839 0.6527  1 Mo 1.77
13 O 0.3744 0.4687 0.9004  1 Mo 1.78
14 O 0.8639 0.2576 0.1186  1 Mo 1.82
15 O 0.5273 0.9582 0.7931  1 Mo 1.78
16 O 0.0273 0.0418 0.7069  1 Mo 1.78
17 O 0.1361 0.7424 0.8814  1 Mo 1.82
18 O 0.8494 0.2814 0.4157  1 Mo 1.79
19 O 0.1506 0.7186 0.5843  1 Mo 1.79
20 O 0.0000 0.0000 0.0000  2 Mo 1.91
21 O 0.9486 0.6244 0.1876  1 Mo 1.78
22 O 0.3376 0.3829 0.6011  1 Mo 1.79
23 O 0.0514 0.3756 0.8124  1 Mo 1.78
24 O 0.4727 0.0418 0.2069  1 Mo 1.78
25 O 0.3494 0.7186 0.0843  1 Mo 1.79
26 O 0.6624 0.6171 0.3989  1 Mo 1.79
27 O 0.6256 0.5313 0.0996  1 Mo 1.78
28 O 0.8376 0.6171 0.8989  1 Mo 1.79
29 O 0.6506 0.2814 0.9157  1 Mo 1.79
30 O 0.2211 0.1161 0.3473  1 Mo 1.77
31 Mo 0.0950 0.1162 0.8423  4 O 1.77-1.91
32 Mo 0.2433 0.5790 0.4909  4 O 1.78-1.82
33 Mo 0.9050 0.8838 0.1577  4 O 1.77-1.91
34 Mo 0.2567 0.5790 0.9909  4 O 1.78-1.82
35 Mo 0.4050 0.1162 0.3423  4 O 1.77-1.91
36 Mo 0.7433 0.4210 0.0091  4 O 1.78-1.82
37 Mo 0.7567 0.4210 0.5091  4 O 1.78-1.82
38 Mo 0.5950 0.8838 0.6577  4 O 1.77-1.91
39 Tm 0.0227 0.2937 0.2748  7 O 2.24-2.33
40 Tm 0.5227 0.7063 0.2252  7 O 2.24-2.33
41 Tm 0.9773 0.7063 0.7252  7 O 2.24-2.33
42 Tm 0.4773 0.2937 0.7748  7 O 2.24-2.33

Table of raw total energy (eV for the cell shown), in record order: -125.27, -93.04, -76.39, -313.05
Table of calculated volume (Å³/atom), in record order: 16.5, 13.3, 13.9, 16.3